A plane-wave DFT calculation with SCAN was carried out for a PBEsol-optimized structure of BeSbPPt2.

Cell lengths 4.695, 4.695, 3.902 Å; angles 90.00, 90.00, 90.00 degrees
Fractional positions:
Be 0.000 0.000 0.000
Sb 0.500 0.500 0.000
P 0.000 0.000 0.500
Pt 0.000 0.500 0.500
Pt 0.500 0.000 0.500

Computed properties:
formation energy without anion corrections	0.1127	eV/atom
SG	P4/mmm
calculated volume	86.0	Å³ per cell
theoretical density	10.657	Mg/m³